A plane-wave DFT calculation with GGA-PBE was carried out for a geometry-optimized Ta4Nb5W structure.

Structure (POSCAR):
```
Ta4Nb5W
1.0
-0.139 -0.873 3.168
0.688 -3.108 -0.827
16.229 3.169 1.583
Ta Nb W
4 5 1
direct
0.000 0.000 0.198 Ta
0.000 0.000 0.399 Ta
0.000 0.000 0.601 Ta
0.000 0.000 0.802 Ta
0.500 0.500 0.096 Nb
0.500 0.500 0.298 Nb
0.500 0.500 0.500 Nb
0.500 0.500 0.702 Nb
0.500 0.500 0.904 Nb
0.000 0.000 0.000 W
```

Fermi-level density of states: 11.9 states/eV/cell
Crystal system: tetragonal
Formation energy: -0.0206 eV per atom


A plane-wave DFT calculation with GGA-PBE was carried out for a geometry-optimized TaNb4W structure.

Structure (POSCAR):
```
TaNb4W
1.0
-3.653 3.421 -0.230
-1.930 1.037 4.505
6.304 6.810 1.134
Ta Nb W
2 8 2
direct
0.500 0.000 0.500 Ta
0.000 0.500 0.000 Ta
0.332 0.329 0.750 Nb
0.165 0.668 0.500 Nb
0.835 0.332 0.500 Nb
0.329 0.332 0.250 Nb
0.671 0.668 0.750 Nb
0.332 0.835 0.000 Nb
0.668 0.165 0.000 Nb
0.668 0.671 0.250 Nb
0.999 0.001 0.250 W
0.001 0.999 0.750 W
```

Fermi-level density of states: 11.3 states/eV/cell
Crystal system: monoclinic
E above lowest polymorph: 28 meV/atom
Formation energy: 0.0996 eV per atom


A plane-wave DFT calculation with GGA-PBE was carried out for a geometry-optimized TaNb2W6 structure.

Structure (POSCAR):
```
TaNb2W6
1.0
0.414 4.488 -1.534
-6.590 -1.176 -5.221
0.576 -1.702 6.558
Ta Nb W
1 2 6
direct
0.000 0.000 0.000 Ta
0.666 0.666 0.331 Nb
0.334 0.334 0.669 Nb
0.167 0.496 0.333 W
0.833 0.163 0.667 W
0.833 0.504 0.667 W
0.500 0.170 0.000 W
0.167 0.837 0.333 W
0.500 0.830 0.000 W
```

Fermi-level density of states: 7.8 states/eV/cell
Crystal system: monoclinic
E above lowest polymorph: 0 meV/atom
Formation energy: 0.3287 eV per atom


A plane-wave DFT calculation with GGA-PBE was carried out for a geometry-optimized Ta7Nb2W2 structure.

Structure (POSCAR):
```
Ta7Nb2W2
1.0
3.251 0.000 0.000
1.625 8.311 -0.261
1.625 3.711 7.441
Ta Nb W
7 2 2
direct
0.834 0.043 0.289 Ta
0.835 0.533 0.796 Ta
0.500 0.923 0.077 Ta
0.662 0.462 0.215 Ta
0.338 0.785 0.538 Ta
0.166 0.711 0.957 Ta
0.165 0.204 0.467 Ta
0.000 0.625 0.375 Nb
0.500 0.323 0.677 Nb
0.667 0.955 0.711 W
0.333 0.289 0.045 W
```

Fermi-level density of states: 12.9 states/eV/cell
Crystal system: orthorhombic
E above lowest polymorph: 0 meV/atom
Formation energy: 0.2462 eV per atom


A plane-wave DFT calculation with GGA-PBE was carried out for a geometry-optimized TaNb6W3 structure.

Structure (POSCAR):
```
TaNb6W3
1.0
-1.216 0.096 -4.471
2.033 -7.737 -0.719
-10.133 2.723 2.813
Ta Nb W
2 12 6
direct
0.750 0.646 0.597 Ta
0.250 0.354 0.403 Ta
0.750 0.648 0.099 Nb
0.250 0.352 0.901 Nb
0.750 0.054 0.202 Nb
0.250 0.946 0.798 Nb
0.750 0.055 0.701 Nb
0.250 0.945 0.299 Nb
0.750 0.246 0.503 Nb
0.250 0.754 0.497 Nb
0.750 0.453 0.295 Nb
0.250 0.547 0.705 Nb
0.750 0.849 0.902 Nb
0.250 0.151 0.098 Nb
0.750 0.850 0.400 W
0.250 0.150 0.600 W
0.750 0.450 0.801 W
0.250 0.550 0.199 W
0.750 0.250 0.999 W
0.250 0.750 0.001 W
```

Fermi-level density of states: 23.8 states/eV/cell
Crystal system: monoclinic
Formation energy: -0.0307 eV per atom


A plane-wave DFT calculation with GGA-PBE was carried out for a geometry-optimized Ta3Nb7W structure.

Structure (POSCAR):
```
Ta3Nb7W
1.0
-3.719 5.695 1.600
-4.883 -3.331 0.506
3.459 0.930 4.729
Ta Nb W
3 7 1
direct
0.782 0.499 0.501 Ta
0.782 0.499 0.999 Ta
0.782 0.001 0.501 Ta
0.104 0.162 0.838 Nb
0.104 0.162 0.324 Nb
0.123 0.667 0.333 Nb
0.464 0.838 0.162 Nb
0.464 0.323 0.162 Nb
0.464 0.838 0.677 Nb
0.104 0.676 0.838 Nb
0.444 0.333 0.667 W
```

Fermi-level density of states: 13.8 states/eV/cell
Crystal system: trigonal
Formation energy: 0.4865 eV per atom


A plane-wave DFT calculation with GGA-PBE was carried out for a geometry-optimized Ta2Nb8W3 structure.

Structure (POSCAR):
```
Ta2Nb8W3
1.0
5.386 0.000 0.613
0.000 7.373 0.000
-1.482 -3.687 6.118
Ta Nb W
2 8 3
direct
0.258 0.197 0.393 Ta
0.742 0.803 0.607 Ta
0.936 0.599 0.199 Nb
0.064 0.401 0.801 Nb
0.759 0.195 0.389 Nb
0.241 0.805 0.611 Nb
0.538 0.565 0.766 Nb
0.538 0.202 0.766 Nb
0.462 0.798 0.234 Nb
0.462 0.435 0.234 Nb
0.500 0.000 0.000 W
0.000 0.171 0.000 W
0.000 0.829 0.000 W
```

Fermi-level density of states: 12.4 states/eV/cell
Crystal system: monoclinic
Formation energy: 0.4956 eV per atom


A plane-wave DFT calculation with GGA-PBE was carried out for a geometry-optimized TaNb3W structure.

Structure (POSCAR):
```
TaNb3W
1.0
9.480 -0.796 -0.914
-1.761 6.839 -1.409
-1.761 -2.335 6.580
Ta Nb W
4 12 4
direct
0.917 0.587 0.174 Ta
0.583 0.826 0.413 Ta
0.083 0.413 0.826 Ta
0.417 0.174 0.587 Ta
0.591 0.426 0.135 Nb
0.909 0.865 0.574 Nb
0.409 0.574 0.865 Nb
0.091 0.135 0.426 Nb
0.056 0.831 0.980 Nb
0.444 0.020 0.169 Nb
0.944 0.169 0.020 Nb
0.556 0.980 0.831 Nb
0.326 0.397 0.336 Nb
0.174 0.664 0.603 Nb
0.674 0.603 0.664 Nb
0.826 0.336 0.397 Nb
0.250 0.129 0.871 W
0.750 0.871 0.129 W
0.250 0.718 0.282 W
0.750 0.282 0.718 W
```

Fermi-level density of states: 21.2 states/eV/cell
Crystal system: monoclinic
E above lowest polymorph: 62 meV/atom
Formation energy: 0.2686 eV per atom


A plane-wave DFT calculation with GGA-PBE was carried out for a geometry-optimized Ta2NbW structure.

Structure (POSCAR):
```
Ta2NbW
1.0
3.266 0.000 0.000
0.000 3.266 0.000
0.000 0.000 6.604
Nb W Ta
1 1 2
direct
0.500 0.500 0.500 Nb
0.500 0.500 0.000 W
0.000 0.000 0.758 Ta
0.000 0.000 0.242 Ta
```

Fermi-level density of states: 4.7 states/eV/cell
Crystal system: tetragonal
Formation energy: -0.0561 eV per atom


A plane-wave DFT calculation with GGA-PBE was carried out for a geometry-optimized Ta5Nb5W2 structure.

Structure (POSCAR):
```
Ta5Nb5W2
1.0
4.513 0.000 1.110
2.046 4.892 1.409
0.012 -0.021 9.684
Ta Nb W
5 5 2
direct
0.838 0.822 0.503 Ta
0.255 0.744 0.746 Ta
0.745 0.256 0.254 Ta
0.162 0.178 0.497 Ta
0.000 0.000 0.000 Ta
0.500 0.500 0.500 Nb
0.328 0.338 0.005 Nb
0.421 0.908 0.250 Nb
0.579 0.092 0.750 Nb
0.672 0.662 0.995 Nb
0.918 0.413 0.751 W
0.082 0.587 0.249 W
```

Fermi-level density of states: 14.9 states/eV/cell
Crystal system: monoclinic
Formation energy: -0.0436 eV per atom


A plane-wave DFT calculation with GGA-PBE was carried out for a geometry-optimized TaNbW3 structure.

Structure (POSCAR):
```
TaNbW3
1.0
-2.915 3.428 1.652
-3.354 -0.905 -4.040
-1.842 -6.339 2.949
Ta Nb W
2 2 6
direct
0.899 0.750 0.797 Ta
0.101 0.250 0.203 Ta
0.507 0.750 0.014 Nb
0.493 0.250 0.986 Nb
0.696 0.003 0.392 W
0.304 0.997 0.608 W
0.304 0.503 0.608 W
0.696 0.497 0.392 W
0.116 0.750 0.232 W
0.884 0.250 0.768 W
```

Fermi-level density of states: 9.7 states/eV/cell
Crystal system: orthorhombic
E above lowest polymorph: 0 meV/atom
Formation energy: 0.3933 eV per atom


A plane-wave DFT calculation with GGA-PBE was carried out for a geometry-optimized TaNb14W structure.

Structure (POSCAR):
```
TaNb14W
1.0
-5.698 0.176 -0.656
1.342 -3.334 4.474
-0.422 7.417 5.655
Ta Nb W
1 14 1
direct
0.125 0.875 0.500 Ta
0.125 0.875 0.000 Nb
0.625 0.375 0.000 Nb
0.125 0.375 0.500 Nb
0.125 0.375 0.000 Nb
0.625 0.875 0.500 Nb
0.625 0.875 0.000 Nb
0.379 0.129 0.746 Nb
0.379 0.129 0.254 Nb
0.871 0.621 0.746 Nb
0.871 0.621 0.254 Nb
0.373 0.627 0.749 Nb
0.373 0.627 0.251 Nb
0.877 0.123 0.749 Nb
0.877 0.123 0.251 Nb
0.625 0.375 0.500 W
```

Fermi-level density of states: 28.4 states/eV/cell
Crystal system: orthorhombic
Formation energy: -0.0121 eV per atom